1.
Computed, not measured: LiTa2Cr after structural relaxation at the PBE-GGA level of DFT.

For the energy of formation from the pure elements, the calculation gives 480.8 meV/atom. The crystal system is monoclinic. The energy above the lowest structure with this stoichiometry comes out at 0.236 eV per atom.

The structure belongs to space group C2/m (No. 12); the cell edges are 8.898, 2.586 and 5.563 Å and the angles 90.00°, 92.34° and 90.00°. Symmetry generates all atoms from Li at (0.000, 0.000, 0.000), Ta at (0.249, 0.000, 0.740) and Cr at (0.000, 0.500, 0.500).


2.
Computed, not measured: Cs2Cd3In after structural relaxation at the PBE-GGA level of DFT.

For the energy of formation from the pure elements, the calculation gives -24.0 meV/atom. The crystal system is monoclinic. The energy above the lowest structure with this stoichiometry comes out at 0.051 eV per atom.

The structure belongs to space group C2/c (No. 15); the cell edges are 11.540, 9.968 and 8.708 Å and the angles 90.00°, 92.24° and 90.00°. Symmetry generates all atoms from Cs at (0.169, 0.105, 0.129), Cd at (0.000, 0.220, 0.750), Cd at (0.131, 0.326, 0.497) and In at (0.000, 0.472, 0.250).


3.
Computed, not measured: CsZnTe2N after structural relaxation at the PBE-GGA level of DFT.

The value obtained for the energy relative to the elements, uncorrected is 1.944 eV/f.u. The crystal system is tetragonal.

The structure belongs to space group P4/mmm (No. 123); the cell edges are 6.669, 6.669 and 3.587 Å and the angles 90.00°, 90.00° and 90.00°. Symmetry generates all atoms from Cs at (0.000, 0.000, 0.000), Zn at (0.500, 0.500, 0.500), Te at (0.000, 0.500, 0.500) and N at (0.500, 0.500, 0.000).


4.
Computed, not measured: LaYTe6 after structural relaxation at the PBE-GGA level of DFT.

The value obtained for the energy relative to the elements, uncorrected is -7.955 eV/f.u. The crystal system is orthorhombic.

The structure belongs to space group Amm2 (No. 38); the cell edges are 4.387, 4.386 and 27.294 Å and the angles 90.00°, 90.00° and 90.00°. Symmetry generates all atoms from La at (0.000, 0.000, 0.000), Y at (0.500, 0.000, 0.345), Te at (0.000, 0.000, 0.252), Te at (0.000, 0.000, 0.596), Te at (0.000, 0.000, 0.878), Te at (0.500, 0.000, 0.096), Te at (0.500, 0.000, 0.463) and Te at (0.500, 0.000, 0.752).


5.
Computed, not measured: LaThUO6 after structural relaxation at the PBE-GGA level of DFT.

The value obtained for the energy relative to the elements, uncorrected is -30.654 eV/f.u. The crystal system is trigonal.

The structure belongs to space group P-31c (No. 163); the cell edges are 6.0199, 6.0199 and 9.4996 Å and the angles 90.00°, 90.00° and 120.00°. Symmetry generates all atoms from La at (0.3333, 0.6667, 0.2500), Th at (0.0000, 0.0000, 0.0000), U at (0.3333, 0.6667, 0.7500) and O at (0.0334, 0.3511, 0.6310).


6.
Computed, not measured: LuZrSn after structural relaxation at the PBE-GGA level of DFT.

For the energy of formation from the pure elements, the calculation gives -349.2 meV/atom. The crystal system is tetragonal.

The structure belongs to space group I4mm (No. 107); the cell edges are 3.828, 3.828 and 9.861 Å and the angles 90.00°, 90.00° and 90.00°. Symmetry generates all atoms from Lu at (0.000, 0.000, 0.000), Zr at (0.000, 0.000, 0.323) and Sn at (0.000, 0.000, 0.670).


7.
Computed, not measured: IrC2 after structural relaxation at the PBE-GGA level of DFT.

For the energy of formation from the pure elements, the calculation gives 1811.4 meV/atom. The crystal system is trigonal. The energy above the lowest structure with this stoichiometry comes out at 1.222 eV per atom.

The structure belongs to space group R-3m (No. 166, hexagonal axes); the cell edges are 3.3736, 3.3736 and 9.2662 Å and the angles 90.00°, 90.00° and 120.00°. Symmetry generates all atoms from Ir at (0.0000, 0.0000, 0.0000) and C at (0.0000, 0.0000, 0.2318).


8.
Computed, not measured: BaLi6Cd2 after structural relaxation at the PBE-GGA level of DFT.

For the energy of formation from the pure elements, the calculation gives -113.7 meV/atom. The crystal system is tetragonal.

The structure belongs to space group P4/mmm (No. 123); the cell edges are 5.011, 5.011 and 8.895 Å and the angles 90.00°, 90.00° and 90.00°. Symmetry generates all atoms from Ba at (0.000, 0.000, 0.000), Li at (0.000, 0.000, 0.500), Li at (0.000, 0.500, 0.325), Li at (0.500, 0.500, 0.500) and Cd at (0.500, 0.500, 0.167).


9.
Computed, not measured: CaSc2Zn3 after structural relaxation at the PBE-GGA level of DFT.

For the energy of formation from the pure elements, the calculation gives -317.6 meV/atom. The crystal system is tetragonal.

The structure belongs to space group P4/mmm (No. 123); the cell edges are 3.439, 3.439 and 10.411 Å and the angles 90.00°, 90.00° and 90.00°. Symmetry generates all atoms from Ca at (0.000, 0.000, 0.000), Sc at (0.000, 0.000, 0.343), Zn at (0.500, 0.500, 0.196) and Zn at (0.500, 0.500, 0.500).


10.
Computed, not measured: PrSmEr2 after structural relaxation at the PBE-GGA level of DFT.

For the energy of formation from the pure elements, the calculation gives 16.7 meV/atom. The crystal system is trigonal. The energy above the lowest structure with this stoichiometry comes out at 0.000 eV per atom.

The structure belongs to space group R-3m (No. 166, hexagonal axes); the cell edges are 3.5944, 3.5944 and 34.8490 Å and the angles 90.00°, 90.00° and 120.00°. Symmetry generates all atoms from Pr at (0.0000, 0.0000, 0.0000), Sm at (0.0000, 0.0000, 0.5000) and Er at (0.0000, 0.0000, 0.2492).


11.
Computed, not measured: Pr2Nd5Er6 after structural relaxation at the PBE-GGA level of DFT.

For the energy of formation from the pure elements, the calculation gives 95.2 meV/atom. The crystal system is orthorhombic.

The structure belongs to space group Pbam (No. 55); the cell edges are 11.762, 20.619 and 3.606 Å and the angles 90.00°, 90.00° and 90.00°. Symmetry generates all atoms from Pr at (0.174, 0.221, 0.000), Nd at (0.000, 0.500, 0.500), Nd at (0.085, 0.782, 0.500), Nd at (0.201, 0.054, 0.500), Er at (0.063, 0.925, 0.000), Er at (0.073, 0.637, 0.000) and Er at (0.183, 0.374, 0.500).


12.
Computed, not measured: AcPrTlCd after structural relaxation at the PBE-GGA level of DFT.

For the energy of formation from the pure elements, the calculation gives -329.9 meV/atom. The crystal system is tetragonal. The energy above the lowest structure with this stoichiometry comes out at 0.000 eV per atom.

The structure belongs to space group P4mm (No. 99); the cell edges are 3.996, 3.996 and 8.065 Å and the angles 90.00°, 90.00° and 90.00°. Symmetry generates all atoms from Ac at (0.000, 0.000, 0.000), Pr at (0.000, 0.000, 0.488), Tl at (0.500, 0.500, 0.724) and Cd at (0.500, 0.500, 0.265).


no.,calculated total energy (eV per atom),total magnetic moment (μB/cell)
1,-8.3298,0.001
2,-1.2225,0.000
3,-2.9584,2.209
4,-4.7746,0.000
5,-9.3377,2.000
6,-6.0399,0.712
7,-7.2916,0.000
8,-1.8066,0.000
9,-3.3987,0.000
10,-4.6394,0.000
11,-4.5798,0.000
12,-3.3722,0.005